[1]
Ca2AlTe SCAN PBEsol geometry; symmetry = Cm (8); volume = 27.368 Å³/atom; energy relative to the elements, uncorrected = -0.638 eV per atom; energy = -66.881 eV per cell; relative energy among the computed polymorphs = 0.067 eV per atom
1.0
5.957 -1.939 0.000
5.957 1.939 0.000
-1.740 0.000 4.739
Ca Al Te
2 1 1
Cartesian
0.000 0.000 0.000
1.534 0.000 3.076
8.735 0.000 0.789
4.801 0.000 2.323

[2]
CrIrC3 SCAN PBEsol geometry; symmetry = Pm-3m (221); volume = 10.389 Å³/atom; formation enthalpy at 0 K = 2.287 eV/atom; energy = -108.349 eV per cell
1.0
3.731 0.000 0.000
0.000 3.731 0.000
0.000 0.000 3.731
Cr Ir C
1 1 3
Cartesian
0.000 0.000 0.000
1.866 1.866 1.866
0.000 0.000 1.866
0.000 1.866 0.000
1.866 0.000 0.000

[3]
Al2PBr SCAN PBEsol geometry; symmetry = P4mm (99); volume = 20.292 Å³/atom; energy relative to the elements, uncorrected = -0.010 eV per atom; energy = -45.400 eV per cell
1.0
3.695 0.000 0.000
0.000 3.695 0.000
0.000 0.000 5.946
Al P Br
2 1 1
Cartesian
0.000 0.000 0.000
1.847 1.847 2.454
1.847 1.847 0.063
0.000 0.000 3.107